Entry 1:
Pu5RuAu: optimized geometry, PBE-GGA.

Results
E_form (eV per atom): -0.04
Theoretical density (g/cm³): 14.6
V (Å³/atom): 24.7
Uncorrected energy (eV for the cell shown): -84.511
Symmetry: No. 10
Size of the total moment (μB per formula unit): 28.789

a b c (Å): 5.0025 4.8395 7.2245
angles (deg): 90.00 80.67 90.00
Sites, in units of the cell vectors:
Au: 0.0000 0.0000 0.5000
Pu: 0.5000 0.5000 0.5000
Pu: 0.0295 0.5000 0.2231
Ru: 0.5000 0.5000 0.0000
Pu: 0.4138 0.0000 0.7979
Pu: 0.5862 0.0000 0.2021
Pu: 0.9705 0.5000 0.7769


Entry 2:
Pu5RuAu2: optimized geometry, PBE-GGA.

Results
E_form (eV per atom): -0.17
Theoretical density (g/cm³): 14.6
V (Å³/atom): 24.4
Uncorrected energy (eV for the cell shown): -177.720
Symmetry: No. 55
Size of the total moment (μB per formula unit): 16.501

a b c (Å): 4.6255 7.4013 11.3930
angles (deg): 90.00 90.00 90.00
Sites, in units of the cell vectors:
Au: 0.5000 0.9150 0.1640
Pu: 0.0000 0.8527 0.7160
Pu: 0.5000 0.8144 0.4249
Ru: 0.0000 0.0000 0.5000
Pu: 0.0000 0.5000 0.5000
Pu: 0.5000 0.6856 0.9249
Pu: 0.0000 0.1473 0.2841
Pu: 0.5000 0.3144 0.0751
Au: 0.5000 0.5850 0.6640
Pu: 0.5000 0.1856 0.5751
Ru: 0.0000 0.5000 0.0000
Au: 0.5000 0.4150 0.3360
Au: 0.5000 0.0850 0.8360
Pu: 0.0000 0.0000 0.0000
Pu: 0.0000 0.3527 0.7840
Pu: 0.0000 0.6473 0.2160


Entry 3:
PuRuAu: optimized geometry, PBE-GGA.

Results
E_form (eV per atom): -0.02
Theoretical density (g/cm³): 15.3
V (Å³/atom): 19.6
Uncorrected energy (eV for the cell shown): -26.955
Symmetry: No. 107
E above lowest polymorph (eV/f.u.): 0.00
Size of the total moment (μB per formula unit): 4.353

a b c (Å): 3.3996 3.3996 5.6351
angles (deg): 107.56 107.56 90.00
Sites, in units of the cell vectors:
Pu: 0.9306 0.9306 0.8612
Au: 0.6283 0.6283 0.2566
Ru: 0.2911 0.2911 0.5822


Entry 4:
Pu4Ru2Au: optimized geometry, PBE-GGA.

Results
E_form (eV per atom): -0.15
Theoretical density (g/cm³): 14.5
V (Å³/atom): 22.5
Uncorrected energy (eV for the cell shown): -160.426
Symmetry: No. 122
Size of the total moment (μB per formula unit): 20.260

a b c (Å): 7.4206 7.4206 7.4206
angles (deg): 109.00 110.42 109.00
Sites, in units of the cell vectors:
Pu: 0.1419 0.4012 0.4003
Pu: 0.2594 0.2584 0.8581
Pu: 0.7509 0.2416 0.8497
Ru: 0.2244 0.5994 0.1250
Pu: 0.6081 0.7584 0.5094
Pu: 0.5997 0.7416 0.0009
Pu: 0.9991 0.5988 0.7406
Ru: 0.3750 0.9006 0.7756
Pu: 0.4906 0.0988 0.2491
Ru: 0.8750 0.0994 0.4744
Au: 0.0000 0.0000 0.0000
Au: 0.7500 0.5000 0.2500
Pu: 0.1503 0.9012 0.3919
Ru: 0.5256 0.4006 0.6250


Entry 5:
SmPuRuAu: optimized geometry, PBE-GGA.

Results
E_form (eV per atom): -0.29
Theoretical density (g/cm³): 12.9
V (Å³/atom): 22.2
Uncorrected energy (eV for the cell shown): -32.768
Symmetry: No. 216
Size of the total moment (μB per formula unit): 5.245

a b c (Å): 5.0087 5.0087 5.0087
angles (deg): 60.00 60.00 60.00
Sites, in units of the cell vectors:
Ru: 0.7500 0.7500 0.7500
Sm: 0.0000 0.0000 0.0000
Au: 0.2500 0.2500 0.2500
Pu: 0.5000 0.5000 0.5000


Entry 6:
TbPuRuAu: optimized geometry, PBE-GGA.

Results
E_form (eV per atom): -0.33
Theoretical density (g/cm³): 13.4
V (Å³/atom): 21.7
Uncorrected energy (eV for the cell shown): -32.853
Symmetry: No. 216
Size of the total moment (μB per formula unit): 5.234

a b c (Å): 4.9673 4.9673 4.9673
angles (deg): 60.00 60.00 60.00
Sites, in units of the cell vectors:
Au: 0.5000 0.5000 0.5000
Tb: 0.2500 0.2500 0.2500
Ru: 0.0000 0.0000 0.0000
Pu: 0.7500 0.7500 0.7500


Entry 7:
PuThRuAu: optimized geometry, PBE-GGA.

Results
E_form (eV per atom): -0.31
Theoretical density (g/cm³): 14.0
V (Å³/atom): 22.9
Uncorrected energy (eV for the cell shown): -35.530
Symmetry: No. 216
Size of the total moment (μB per formula unit): 5.648

a b c (Å): 5.0580 5.0580 5.0580
angles (deg): 60.00 60.00 60.00
Sites, in units of the cell vectors:
Pu: 0.0000 0.0000 0.0000
Au: 0.2500 0.2500 0.2500
Th: 0.5000 0.5000 0.5000
Ru: 0.7500 0.7500 0.7500


Entry 8:
PuURuAu: optimized geometry, PBE-GGA.

Results
E_form (eV per atom): -0.25
Theoretical density (g/cm³): 17.4
V (Å³/atom): 18.6
Uncorrected energy (eV for the cell shown): -39.181
Symmetry: No. 216
Size of the total moment (μB per formula unit): 5.161

a b c (Å): 4.7206 4.7206 4.7206
angles (deg): 60.00 60.00 60.00
Sites, in units of the cell vectors:
Au: 0.0000 0.0000 0.0000
U: 0.5000 0.5000 0.5000
Pu: 0.7500 0.7500 0.7500
Ru: 0.2500 0.2500 0.2500


Entry 9:
PuAuS2: optimized geometry, PBE-GGA.

Results
Theoretical density (g/cm³): 8.7
V (Å³/atom): 24.1
Uncorrected energy (eV for the cell shown): -59.600
Symmetry: No. 11
Size of the total moment (μB per formula unit): 5.000

a b c (Å): 5.5487 4.2440 9.2005
angles (deg): 117.14 90.00 90.00
Sites, in units of the cell vectors:
S: 0.7010 0.3893 0.2602
S: 0.2010 0.5774 0.9558
S: 0.7010 0.8132 0.6887
Pu: 0.7010 0.0878 0.4609
S: 0.2010 0.1535 0.5272
Au: 0.2010 0.8621 0.2393
Au: 0.7010 0.1046 0.9767
Pu: 0.2010 0.8789 0.7550


Entry 10:
PuAuS2: optimized geometry, PBE-GGA.

Results
Theoretical density (g/cm³): 7.5
V (Å³/atom): 27.9
Uncorrected energy (eV for the cell shown): -29.984
Symmetry: No. 166
Size of the total moment (μB per formula unit): 5.000

a b c (Å): 4.2153 4.2153 7.6566
angles (deg): 74.02 74.02 60.00
Sites, in units of the cell vectors:
Pu: 0.5000 0.5000 0.5000
S: 0.8942 0.8942 0.3173
S: 0.1058 0.1058 0.6827
Au: 0.0000 0.0000 0.0000


Entry 11:
PuSnAuS: optimized geometry, PBE-GGA.

Results
Theoretical density (g/cm³): 9.7
V (Å³/atom): 25.2
Uncorrected energy (eV for the cell shown): -57.899
Symmetry: No. 166
Size of the total moment (μB per formula unit): 5.192

a b c (Å): 4.5902 4.5902 11.3775
angles (deg): 78.36 78.36 60.00
Sites, in units of the cell vectors:
Au: 0.3881 0.3881 0.8358
Sn: 0.2991 0.2991 0.1026
Pu: 0.1161 0.1161 0.6518
S: 0.8014 0.8014 0.5958
Au: 0.6119 0.6119 0.1642
S: 0.1986 0.1986 0.4042
Sn: 0.7009 0.7009 0.8974
Pu: 0.8839 0.8839 0.3482


Entry 12:
PuSbAu2: optimized geometry, PBE-GGA.

Results
Theoretical density (g/cm³): 13.5
V (Å³/atom): 23.3
Uncorrected energy (eV for the cell shown): -26.205
Symmetry: No. 123
Size of the total moment (μB per formula unit): 5.465

a b c (Å): 3.8660 3.8660 6.2386
angles (deg): 90.00 90.00 90.00
Sites, in units of the cell vectors:
Au: 0.0000 0.0000 0.2533
Pu: 0.5000 0.5000 0.5000
Au: 0.0000 0.0000 0.7467
Sb: 0.5000 0.5000 0.0000


Entry 13:
Pu3Sb4Au3: optimized geometry, PBE-GGA.

Results
Theoretical density (g/cm³): 11.9
V (Å³/atom): 25.2
Uncorrected energy (eV for the cell shown): -148.760
Symmetry: No. 220
Size of the total moment (μB per formula unit): 15.041

a b c (Å): 8.6811 8.6811 8.6811
angles (deg): 109.47 109.47 109.47
Sites, in units of the cell vectors:
Sb: 0.8216 0.5000 0.0000
Sb: 0.5000 0.8216 0.5000
Au: 0.6250 0.8750 0.2500
Au: 0.2500 0.3750 0.6250
Au: 0.8750 0.6250 0.7500
Pu: 0.7500 0.6250 0.3750
Sb: 0.6784 0.1784 0.1784
Pu: 0.6250 0.7500 0.8750
Sb: 0.0000 0.0000 0.3216
Au: 0.7500 0.1250 0.8750
Pu: 0.2500 0.8750 0.1250
Pu: 0.8750 0.2500 0.6250
Sb: 0.1784 0.6784 0.6784
Au: 0.1250 0.7500 0.3750
Sb: 0.3216 0.5000 0.0000
Sb: 0.5000 0.3216 0.5000
Au: 0.3750 0.2500 0.1250
Pu: 0.1250 0.3750 0.2500
Sb: 0.0000 0.0000 0.8216
Pu: 0.3750 0.1250 0.7500


Entry 14:
Pu5Sb3Au: optimized geometry, PBE-GGA.

Results
Theoretical density (g/cm³): 12.2
V (Å³/atom): 26.9
Uncorrected energy (eV for the cell shown): -185.237
Symmetry: No. 193
Size of the total moment (μB per formula unit): 29.936

a b c (Å): 6.3844 9.3573 9.3573
angles (deg): 120.00 90.00 90.00
Sites, in units of the cell vectors:
Pu: 0.5000 0.6667 0.3333
Sb: 0.7500 0.0000 0.3751
Pu: 0.5000 0.3333 0.6667
Sb: 0.2500 0.0000 0.6249
Pu: 0.7500 0.7173 0.0000
Sb: 0.7500 0.6249 0.6249
Pu: 0.7500 0.2827 0.2827
Au: 0.0000 0.0000 0.0000
Au: 0.5000 0.0000 0.0000
Pu: 0.0000 0.3333 0.6667
Sb: 0.2500 0.3751 0.3751
Pu: 0.2500 0.7173 0.7173
Pu: 0.0000 0.6667 0.3333
Sb: 0.7500 0.3751 0.0000
Pu: 0.2500 0.0000 0.2827
Pu: 0.7500 0.0000 0.7173
Sb: 0.2500 0.6249 0.0000
Pu: 0.2500 0.2827 0.0000


Entry 15:
Pu2SbAu: optimized geometry, PBE-GGA.

Results
Theoretical density (g/cm³): 13.1
V (Å³/atom): 25.6
Uncorrected energy (eV for the cell shown): -38.129
Symmetry: No. 225
Size of the total moment (μB per formula unit): 12.001

a b c (Å): 5.2535 5.2535 5.2535
angles (deg): 60.00 60.00 60.00
Sites, in units of the cell vectors:
Pu: 0.7500 0.7500 0.7500
Pu: 0.2500 0.2500 0.2500
Sb: 0.0000 0.0000 0.0000
Au: 0.5000 0.5000 0.5000


Entry 16:
Pu2SbAu: optimized geometry, PBE-GGA.

Results
Theoretical density (g/cm³): 13.2
V (Å³/atom): 25.3
Uncorrected energy (eV for the cell shown): -38.094
Symmetry: No. 123
Size of the total moment (μB per formula unit): 11.514

a b c (Å): 4.0792 4.9813 4.9813
angles (deg): 90.00 90.00 90.00
Sites, in units of the cell vectors:
Sb: 0.5000 0.5000 0.5000
Pu: 0.0000 0.0000 0.5000
Pu: 0.0000 0.5000 0.0000
Au: 0.5000 0.0000 0.0000


Entry 17:
PuSbAu2: optimized geometry, PBE-GGA.

Results
Theoretical density (g/cm³): 13.9
V (Å³/atom): 22.8
Uncorrected energy (eV for the cell shown): -26.296
Symmetry: No. 123
Size of the total moment (μB per formula unit): 5.651

a b c (Å): 4.5447 4.4756 4.4756
angles (deg): 90.00 90.00 90.00
Sites, in units of the cell vectors:
Sb: 0.5000 0.0000 0.0000
Au: 0.0000 0.0000 0.5000
Pu: 0.5000 0.5000 0.5000
Au: 0.0000 0.5000 0.0000


Entry 18:
Pu5SbAu3: optimized geometry, PBE-GGA.

Results
Theoretical density (g/cm³): 14.1
V (Å³/atom): 25.3
Uncorrected energy (eV for the cell shown): -177.531
Symmetry: No. 193
Size of the total moment (μB per formula unit): 29.911

a b c (Å): 6.2278 9.1937 9.1937
angles (deg): 120.00 90.00 90.00
Sites, in units of the cell vectors:
Au: 0.2500 0.6235 0.0000
Au: 0.7500 0.3765 0.0000
Sb: 0.5000 0.0000 0.0000
Au: 0.7500 0.0000 0.3765
Au: 0.2500 0.3765 0.3765
Pu: 0.2500 0.2972 0.0000
Pu: 0.5000 0.3333 0.6667
Sb: 0.0000 0.0000 0.0000
Au: 0.2500 0.0000 0.6235
Pu: 0.7500 0.2972 0.2972
Pu: 0.2500 0.0000 0.2972
Pu: 0.0000 0.6667 0.3333
Pu: 0.2500 0.7028 0.7028
Pu: 0.7500 0.0000 0.7028
Pu: 0.7500 0.7028 0.0000
Pu: 0.0000 0.3333 0.6667
Au: 0.7500 0.6235 0.6235
Pu: 0.5000 0.6667 0.3333


Entry 19:
PuSb3Au3: optimized geometry, PBE-GGA.

Results
Theoretical density (g/cm³): 9.2
V (Å³/atom): 30.8
Uncorrected energy (eV for the cell shown): -71.592
Symmetry: No. 223
Size of the total moment (μB per formula unit): 5.908

a b c (Å): 7.5583 7.5583 7.5583
angles (deg): 90.00 90.00 90.00
Sites, in units of the cell vectors:
Sb: 0.5000 0.2500 0.0000
Au: 0.0000 0.7500 0.5000
Sb: 0.5000 0.7500 0.0000
Pu: 0.0000 0.0000 0.0000
Au: 0.7500 0.5000 0.0000
Au: 0.5000 0.0000 0.7500
Au: 0.5000 0.0000 0.2500
Sb: 0.0000 0.5000 0.7500
Sb: 0.0000 0.5000 0.2500
Au: 0.0000 0.2500 0.5000
Pu: 0.5000 0.5000 0.5000
Sb: 0.7500 0.0000 0.5000
Au: 0.2500 0.5000 0.0000
Sb: 0.2500 0.0000 0.5000


Entry 20:
Pu2SbAu16: optimized geometry, PBE-GGA.

Results
Theoretical density (g/cm³): 16.0
V (Å³/atom): 20.5
Uncorrected energy (eV for the cell shown): -87.806
Symmetry: No. 160
Size of the total moment (μB per formula unit): 11.310

a b c (Å): 7.3441 7.3441 7.3441
angles (deg): 83.62 83.62 83.62
Sites, in units of the cell vectors:
Au: 0.6778 0.3249 0.0011
Au: 0.0011 0.6778 0.3249
Au: 0.3327 0.8607 0.3327
Au: 0.3327 0.3327 0.8607
Au: 0.6391 0.2041 0.6391
Au: 0.5234 0.9874 0.9874
Au: 0.8607 0.3327 0.3327
Au: 0.6778 0.0011 0.3249
Au: 0.9874 0.5234 0.9874
Pu: 0.6490 0.6490 0.6490
Au: 0.2041 0.6391 0.6391
Au: 0.1015 0.1015 0.1015
Au: 0.3249 0.0011 0.6778
Au: 0.9874 0.9874 0.5234
Au: 0.0011 0.3249 0.6778
Au: 0.3249 0.6778 0.0011
Au: 0.6391 0.6391 0.2041
Sb: 0.9022 0.9022 0.9022
Pu: 0.3333 0.3333 0.3333